Record 1
The following is a DFT calculation (PBEsol) of a relaxed ScU3Sb5 crystal.

It has space group P6_3/mcm (No. 193), with a = 9.0497 Å, b = 9.0497 Å, c = 6.0996 Å, α = 90.00°, β = 90.00° and γ = 120.00°. The asymmetric unit holds Sc at (0.0000, 0.0000, 0.0000), U at (0.0000, 0.3884, 0.2500), Sb at (0.0000, 0.2697, 0.7500) and Sb at (0.3333, 0.6667, 0.0000).

The electronic total energy is -7.71 eV per atom. Its energy relative to the elements, uncorrected is -0.39 eV per atom.

***

Record 2
The following is a DFT calculation (PBEsol) of a relaxed LaCrH2Pt crystal.

It has space group P4/mmm (No. 123), with a = 3.960 Å, b = 3.960 Å, c = 5.810 Å, α = 90.00°, β = 90.00° and γ = 90.00°. The asymmetric unit holds La at (0.000, 0.000, 0.000), Cr at (0.000, 0.000, 0.500), H at (0.000, 0.500, 0.000) and Pt at (0.500, 0.500, 0.500).

The electronic total energy is -5.09 eV per atom.

***

Record 3
The following is a DFT calculation (PBEsol) of a relaxed GaNi4Ge3 crystal.

It has space group Cm (No. 8), with a = 11.534 Å, b = 3.807 Å, c = 4.854 Å, α = 90.00°, β = 101.63° and γ = 90.00°. The asymmetric unit holds Ga at (0.000, 0.000, 0.000), Ni at (0.134, 0.500, 0.038), Ni at (0.220, 0.000, 0.374), Ni at (0.425, 0.000, 0.206), Ni at (0.425, 0.000, 0.705), Ge at (0.110, 0.500, 0.530), Ge at (0.240, 0.000, 0.879) and Ge at (0.356, 0.500, 0.413).

The electronic total energy is -5.72 eV per atom. The value obtained for the formation energy is -0.367 eV per atom.

***

Record 4
The following is a DFT calculation (PBEsol) of a relaxed MgZr2Zn crystal.

It has space group P4/mmm (No. 123), with a = 3.067 Å, b = 3.067 Å, c = 8.384 Å, α = 90.00°, β = 90.00° and γ = 90.00°. The asymmetric unit holds Mg at (0.000, 0.000, 0.000), Zr at (0.500, 0.500, 0.276) and Zn at (0.000, 0.000, 0.500).

The electronic total energy is -5.46 eV per atom. The value obtained for the formation energy is -0.091 eV per atom.

***

Record 5
The following is a DFT calculation (PBEsol) of a relaxed TaTiSn2Os crystal.

It has space group P4/mmm (No. 123), with a = 4.987 Å, b = 4.987 Å, c = 4.586 Å, α = 90.00°, β = 90.00° and γ = 90.00°. The asymmetric unit holds Ta at (0.000, 0.000, 0.000), Ti at (0.500, 0.500, 0.000), Sn at (0.000, 0.500, 0.500) and Os at (0.500, 0.500, 0.500).

The electronic total energy is -7.22 eV per atom. The value obtained for the formation energy is 1.102 eV per atom.

***

Record 6
The following is a DFT calculation (PBEsol) of a relaxed LiTa2W crystal.

It has space group Cm (No. 8), with a = 9.450 Å, b = 2.652 Å, c = 5.258 Å, α = 90.00°, β = 94.97° and γ = 90.00°. The asymmetric unit holds Li at (0.000, 0.000, 0.000), Ta at (0.249, 0.000, 0.758), Ta at (0.498, 0.000, 0.492) and W at (0.246, 0.500, 0.250).

The electronic total energy is -9.79 eV per atom. The value obtained for the formation energy is 0.432 eV per atom.